1.
SrPb3W: relaxed, PBE-GGA.

Lattice parameters (Å, degrees): 5.4718 5.4718 5.4718 90.00 90.00 90.00
With the nearest neighbours (Å) after each atom.
Fractional positions:
Pb1 0.0000 0.0000 0.5000  2 W 2.74
Pb2 0.0000 0.5000 0.0000  2 W 2.74
Sr1 0.5000 0.5000 0.5000  12 Pb 3.87
W1 0.0000 0.0000 0.0000  6 Pb 2.74
Pb3 0.5000 0.0000 0.0000  2 W 2.74

Properties
- spin magnetization (μB per cell) = 0.00
- formation enthalpy at 0 K (eV/atom) = 0.35
- space-group type = Pm-3m (221)

---

2.
SrPbW: relaxed, PBE-GGA.

Lattice parameters (Å, degrees): 7.8189 7.8189 7.8189 156.62 156.62 33.30
With the nearest neighbours (Å) after each atom.
Fractional positions:
Pb1 0.0173 0.0173 0.0000  4 W 3.08, 4 Pb 3.17
W1 0.6584 0.6584 0.0000  4 Pb 3.08, 4 W 3.17, 4 Sr 3.35
Sr1 0.3244 0.3244 0.0000  4 Sr 3.17, 4 W 3.35

Properties
- spin magnetization (μB per cell) = 0.00
- formation enthalpy at 0 K (eV/atom) = 0.86
- space-group type = I4mm (107)

---

3.
Sr4PbW: relaxed, PBE-GGA.

Lattice parameters (Å, degrees): 6.8455 6.8455 6.8455 60.00 60.00 60.00
With the nearest neighbours (Å) after each atom.
Fractional positions:
Sr1 0.3752 0.3752 0.8744  6 Sr 3.42-3.43
Pb1 0.0000 0.0000 0.0000  12 Sr 4.01, 4 W 4.19
Sr2 0.3752 0.8744 0.3752  6 Sr 3.42-3.43
Sr3 0.3752 0.3752 0.3752  6 Sr 3.42-3.43
Sr4 0.8744 0.3752 0.3752  6 Sr 3.42-3.43
W1 0.7500 0.7500 0.7500  12 Sr 4.01, 4 Pb 4.19

Properties
- spin magnetization (μB per cell) = 3.79
- formation enthalpy at 0 K (eV/atom) = 1.11
- space-group type = F-43m (216)